# 1
A relaxed structure of HoBiPtO6. Source: Alexandria via LeMat-Bulk, functional PBE.

a = 5.506 Å, b = 5.506 Å, c = 9.401 Å
α = 90.00°, β = 90.00°, γ = 120.00°
Fractional coordinates of all 18 atoms:
O  0.667  0.636  0.129
O  0.333  0.970  0.629
Pt  0.667  0.333  0.250
Ho  0.333  0.667  0.250
O  0.333  0.364  0.871
O  0.364  0.333  0.371
O  0.364  0.030  0.129
Bi  0.000  0.000  0.000
O  0.970  0.333  0.129
Bi  0.000  0.000  0.500
O  0.636  0.667  0.629
O  0.030  0.667  0.871
O  0.667  0.030  0.371
O  0.030  0.364  0.629
O  0.636  0.970  0.871
Ho  0.667  0.333  0.750
Pt  0.333  0.667  0.750
O  0.970  0.636  0.371

Output
- Space-group type: P-31c
- Formation energy without anion corrections: -1.42 eV per atom
- VASP energy: -114.09 eV per cell
- DOS at the Fermi energy: 0.5794 states/eV per atom

# 2
A relaxed structure of HoPuBiO2. Source: Alexandria via LeMat-Bulk, functional PBE.

a = 3.904 Å, b = 3.904 Å, c = 7.211 Å
α = 105.70°, β = 105.70°, γ = 90.00°
Last column: magnetic moment on the atom in μB.
Fractional coordinates of all 5 atoms:
Ho  0.166  0.166  0.332  -0.01
Pu  0.839  0.839  0.678  4.90
Bi  0.500  0.500  0.000  -0.11
O  0.248  0.748  0.495  -0.05
O  0.748  0.248  0.495  -0.05

Output
- Space-group type: I4mm
- Formation energy without anion corrections: -2.43 eV per atom
- VASP energy: -44.85 eV per cell
- DOS at the Fermi energy: 2.0043 states/eV per atom

# 3
A relaxed structure of Ho2PuBiO8. Source: Alexandria via LeMat-Bulk, functional PBE.

a = 5.115 Å, b = 5.114 Å, c = 7.022 Å
α = 90.00°, β = 90.00°, γ = 90.88°
Last column: magnetic moment on the atom in μB.
Fractional coordinates of all 12 atoms:
O  0.813  0.188  0.783  -0.06
O  0.685  0.686  0.500  -0.03
O  0.719  0.720  0.000  -0.07
O  0.281  0.280  0.000  -0.07
O  0.315  0.314  0.500  -0.03
Ho  0.500  0.500  0.257  -0.01
Ho  0.500  0.500  0.743  -0.01
O  0.187  0.812  0.783  -0.06
O  0.187  0.812  0.217  -0.06
Pu  0.000  0.000  0.000  1.51
O  0.813  0.188  0.217  -0.06
Bi  0.000  0.000  0.500  -0.01

Output
- Space-group type: Cmmm
- Formation energy without anion corrections: -2.61 eV per atom
- VASP energy: -98.37 eV per cell
- DOS at the Fermi energy: 0.0092 states/eV per atom

# 4
A relaxed structure of Rb2HoBiO4. Source: Alexandria via LeMat-Bulk, functional PBE.

a = 3.563 Å, b = 6.208 Å, c = 6.886 Å
α = 107.29°, β = 90.00°, γ = 90.00°
Fractional coordinates of all 8 atoms:
O  0.500  0.756  0.814
Rb  0.000  0.500  0.500
Ho  0.500  0.500  0.000
O  0.500  0.244  0.186
Bi  0.000  0.000  0.000
O  0.000  0.287  0.822
O  0.000  0.713  0.178
Rb  0.500  0.000  0.500

Output
- Space-group type: P2/m
- Formation energy without anion corrections: -1.99 eV per atom
- VASP energy: -46.17 eV per cell
- DOS at the Fermi energy: 0.0000 states/eV per atom

# 5
A relaxed structure of Rb4HoBi3O12. Source: Alexandria via LeMat-Bulk, functional PBE.

a = 7.530 Å, b = 7.530 Å, c = 7.530 Å
α = 109.47°, β = 109.47°, γ = 109.47°
Last column: magnetic moment on the atom in μB.
Fractional coordinates of all 20 atoms:
O  0.750  0.500  0.250  0.15
Bi  0.500  0.000  0.500  -0.03
Bi  0.500  0.500  0.000  -0.03
Rb  0.500  0.500  0.500  0.00
O  0.500  0.250  0.750  0.15
Ho  0.000  0.000  0.000  -0.03
O  0.741  0.000  0.741  0.12
Rb  0.000  0.500  0.000  0.00
O  0.250  0.750  0.500  0.15
O  0.000  0.259  0.259  0.12
O  0.741  0.741  0.000  0.12
O  0.250  0.500  0.750  0.15
O  0.259  0.259  0.000  0.12
Rb  0.500  0.000  0.000  0.00
O  0.500  0.750  0.250  0.15
Bi  0.000  0.500  0.500  -0.03
O  0.259  0.000  0.259  0.12
O  0.000  0.741  0.741  0.12
Rb  0.000  0.000  0.500  0.00
O  0.750  0.250  0.500  0.15

Output
- Space-group type: Im-3m
- Formation energy without anion corrections: -1.29 eV per atom
- VASP energy: -105.38 eV per cell
- DOS at the Fermi energy: 0.6299 states/eV per atom

# 6
A relaxed structure of Rb4Ho3BiO8. Source: Alexandria via LeMat-Bulk, functional PBE.

a = 7.066 Å, b = 7.730 Å, c = 7.066 Å
α = 117.20°, β = 120.00°, γ = 90.00°
Fractional coordinates of all 16 atoms:
Ho  0.500  0.500  0.000
Rb  0.000  0.000  0.500
Bi  0.000  0.500  0.000
Rb  0.500  0.000  0.500
Rb  0.000  0.000  0.000
Ho  0.500  0.500  0.500
O  0.275  0.326  0.551
O  0.287  0.321  0.054
O  0.233  0.679  0.466
O  0.233  0.679  0.946
O  0.713  0.679  0.946
Ho  0.000  0.500  0.500
O  0.767  0.321  0.054
O  0.725  0.674  0.449
Rb  0.500  0.000  0.000
O  0.767  0.321  0.534

Output
- Space-group type: R-3m
- Formation energy without anion corrections: -2.35 eV per atom
- VASP energy: -98.81 eV per cell
- DOS at the Fermi energy: 0.0000 states/eV per atom

# 7
A relaxed structure of Rb2HoBiO6. Source: Alexandria via LeMat-Bulk, functional PBE.

a = 6.209 Å, b = 6.209 Å, c = 6.209 Å
α = 60.00°, β = 60.00°, γ = 60.00°
Last column: magnetic moment on the atom in μB.
Fractional coordinates of all 10 atoms:
O  0.757  0.243  0.757  0.29
O  0.243  0.757  0.757  0.29
O  0.757  0.757  0.243  0.29
Ho  0.500  0.500  0.500  -0.06
Bi  0.000  0.000  0.000  -0.05
O  0.757  0.243  0.243  0.29
O  0.243  0.243  0.757  0.29
Rb  0.250  0.250  0.250  0.00
O  0.243  0.757  0.243  0.29
Rb  0.750  0.750  0.750  0.00

Output
- Space-group type: Fm-3m
- Formation energy without anion corrections: -1.54 eV per atom
- VASP energy: -55.55 eV per cell
- DOS at the Fermi energy: 0.6274 states/eV per atom

# 8
A relaxed structure of HoReBi2O8. Source: Alexandria via LeMat-Bulk, functional PBE.

a = 5.227 Å, b = 5.223 Å, c = 6.696 Å
α = 90.00°, β = 90.00°, γ = 89.48°
Fractional coordinates of all 12 atoms:
O  0.175  0.821  0.785
O  0.747  0.753  0.000
Ho  0.000  0.000  0.500
Re  0.000  0.000  0.000
O  0.306  0.303  0.500
O  0.694  0.697  0.500
Bi  0.500  0.500  0.751
Bi  0.500  0.500  0.249
O  0.253  0.247  0.000
O  0.825  0.179  0.785
O  0.175  0.821  0.215
O  0.825  0.179  0.215

Output
- Space-group type: P2/m
- Formation energy without anion corrections: -1.80 eV per atom
- VASP energy: -86.10 eV per cell

The calculation returns the following total magnetization values, one per record and in order: 0.00, 4.79, 0.99, 0.00, 1.91, 0.00, 2.05, 0.00 μB/cell.